Entry from Alexandria via LeMat-Bulk: crystalline VMo2Ir9 at its relaxed geometry (PBE).

Output
**Raw total energy**: -9.42 eV/atom
**Mass density**: 18.66 g/cm3
**ΔH_f (0 K)**: -0.206 eV per atom
**Space-group type**: P-1, No. 2
**Magnetization**: 0.0 Bohr magnetons per cell
**Crystal system**: triclinic

Cell lengths 4.757, 6.124, 6.148 Å; angles 84.26, 82.51, 82.80 degrees
Element x y z (fractional)
1 V 0.000 0.000 0.000
2 Mo 0.253 0.909 0.584
3 Mo 0.747 0.091 0.416
4 Ir 0.001 0.323 0.674
5 Ir 0.247 0.588 0.917
6 Ir 0.248 0.243 0.256
7 Ir 0.498 0.835 0.168
8 Ir 0.500 0.500 0.500
9 Ir 0.502 0.165 0.832
10 Ir 0.752 0.757 0.744
11 Ir 0.753 0.412 0.083
12 Ir 0.999 0.677 0.326

---

Entry from Alexandria via LeMat-Bulk: crystalline HgTeMo2 at its relaxed geometry (PBE).

Output
**Raw total energy**: -5.46 eV/atom
**Mass density**: 11.28 g/cm3
**Space-group type**: Pmmm, No. 47
**Magnetization**: 0.0 Bohr magnetons per cell
**ΔE_f (raw)**: 812 meV/atom
**Offset from the most stable computed form**: 529.8 meV per atom
**Crystal system**: orthorhombic

Cell lengths 3.431, 4.604, 4.845 Å; angles 90.00, 90.00, 90.00 degrees
Element x y z (fractional)
1 Hg 0.000 0.000 0.000
2 Te 0.500 0.000 0.500
3 Mo 0.000 0.500 0.500
4 Mo 0.500 0.500 0.000

---

Entry from Alexandria via LeMat-Bulk: crystalline Hf12Co5N2 at its relaxed geometry (PBE).

Output
**Raw total energy**: -9.47 eV/atom
**Mass density**: 11.94 g/cm3
**Space-group type**: C2/m, No. 12
**Magnetization**: 0.0 Bohr magnetons per cell
**ΔE_f (raw)**: -436 meV/atom
**Crystal system**: monoclinic

Cell lengths 7.934, 7.934, 7.594 Å; angles 103.53, 103.53, 47.88 degrees
Element x y z (fractional)
1 Hf 0.004 0.004 0.292
2 Hf 0.081 0.587 0.399
3 Hf 0.113 0.603 0.940
4 Hf 0.397 0.887 0.060
5 Hf 0.413 0.919 0.601
6 Hf 0.486 0.486 0.680
7 Hf 0.514 0.514 0.320
8 Hf 0.587 0.081 0.399
9 Hf 0.603 0.113 0.940
10 Hf 0.887 0.397 0.060
11 Hf 0.919 0.413 0.601
12 Hf 0.996 0.996 0.708
13 Co 0.186 0.186 0.335
14 Co 0.203 0.203 0.864
15 Co 0.500 0.500 0.000
16 Co 0.797 0.797 0.136
17 Co 0.814 0.814 0.665
18 N 0.235 0.765 0.500
19 N 0.765 0.235 0.500

---

Entry from Alexandria via LeMat-Bulk: crystalline ScTcOs2 at its relaxed geometry (PBE).

Output
**Raw total energy**: -9.68 eV/atom
**Mass density**: 14.13 g/cm3
**ΔH_f (0 K)**: 0.110 eV per atom
**Space-group type**: Pm, No. 6
**Magnetization**: 0.0 Bohr magnetons per cell
**Offset from the most stable computed form**: 177.3 meV per atom
**Crystal system**: monoclinic

Cell lengths 2.765, 4.342, 5.268 Å; angles 90.00, 103.39, 90.00 degrees
Element x y z (fractional)
1 Sc 0.000 0.000 0.000
2 Tc 0.819 0.500 0.262
3 Os 0.222 0.500 0.762
4 Os 0.529 0.000 0.493

---

Entry from Alexandria via LeMat-Bulk: crystalline MnTlAg2 at its relaxed geometry (PBE).

Output
**Raw total energy**: -4.01 eV/atom
**Mass density**: 10.32 g/cm3
**ΔH_f (0 K)**: 0.295 eV per atom
**Space-group type**: Fm-3m, No. 225
**Magnetization**: 16.6 Bohr magnetons per cell
**Offset from the most stable computed form**: 49.9 meV per atom
**Crystal system**: cubic

Cell lengths 6.737, 6.737, 6.737 Å; angles 90.00, 90.00, 90.00 degrees
Element x y z (fractional)
1 Mn 0.000 0.000 0.000
2 Mn 0.000 0.500 0.500
3 Mn 0.500 0.000 0.500
4 Mn 0.500 0.500 0.000
5 Tl 0.000 0.000 0.500
6 Tl 0.000 0.500 0.000
7 Tl 0.500 0.000 0.000
8 Tl 0.500 0.500 0.500
9 Ag 0.250 0.250 0.250
10 Ag 0.250 0.250 0.750
11 Ag 0.250 0.750 0.250
12 Ag 0.250 0.750 0.750
13 Ag 0.750 0.250 0.250
14 Ag 0.750 0.250 0.750
15 Ag 0.750 0.750 0.250
16 Ag 0.750 0.750 0.750

---

Entry from Alexandria via LeMat-Bulk: crystalline Sm3Th2Pt4 at its relaxed geometry (PBE).

Output
**Raw total energy**: -6.94 eV/atom
**Mass density**: 11.34 g/cm3
**ΔH_f (0 K)**: -1.033 eV per atom
**Space-group type**: C2/m, No. 12
**Magnetization**: 0.0 Bohr magnetons per cell
**Crystal system**: monoclinic

Cell lengths 4.111, 4.111, 16.966 Å; angles 90.02, 90.02, 60.01 degrees
Element x y z (fractional)
1 Sm 0.000 0.000 0.000
2 Sm 0.334 0.334 0.407
3 Sm 0.666 0.666 0.593
4 Th 0.333 0.333 0.793
5 Th 0.667 0.667 0.207
6 Pt 0.001 0.001 0.310
7 Pt 0.334 0.334 0.107
8 Pt 0.666 0.666 0.893
9 Pt 0.999 0.999 0.690

---

Please write out number 4 again, unchanged.
Entry from Alexandria via LeMat-Bulk: crystalline ScTcOs2 at its relaxed geometry (PBE).

Output
**Raw total energy**: -9.68 eV/atom
**Mass density**: 14.13 g/cm3
**ΔH_f (0 K)**: 0.110 eV per atom
**Space-group type**: Pm, No. 6
**Magnetization**: 0.0 Bohr magnetons per cell
**Offset from the most stable computed form**: 177.3 meV per atom
**Crystal system**: monoclinic

Cell lengths 2.765, 4.342, 5.268 Å; angles 90.00, 103.39, 90.00 degrees
Element x y z (fractional)
1 Sc 0.000 0.000 0.000
2 Tc 0.819 0.500 0.262
3 Os 0.222 0.500 0.762
4 Os 0.529 0.000 0.493

---

- Among the records above, which one has the highest raw total energy?
  MnTlAg2